# 1
# NaAcBi2O8

Crystalline NaAcBi2O8 at its relaxed geometry (PBE, Alexandria via LeMat-Bulk).

Structure (CIF):
```
data_NaAcBi2O8
_cell_length_a 5.6816
_cell_length_b 5.6816
_cell_length_c 6.1686
_cell_angle_alpha 90.00
_cell_angle_beta 90.00
_cell_angle_gamma 120.00
_space_group_name_H-M_alt 'P -3'
_space_group_IT_number 147
loop_
_space_group_symop_operation_xyz
'x,y,z'
'-x,-y,-z'
'-y,x-y,z'
'y,-x+y,-z'
'-x+y,-x,z'
'x-y,x,-z'
loop_
_atom_site_label
_atom_site_type_symbol
_atom_site_fract_x
_atom_site_fract_y
_atom_site_fract_z
Na1 Na 0.0000 0.0000 0.0000
Ac1 Ac 0.0000 0.0000 0.5000
Bi1 Bi 0.3333 0.6667 0.9341
O1 O 0.0475 0.3586 0.1735
O2 O 0.3333 0.6667 0.5837
```

Computed properties:
N(E_F) = 7.790 states/eV/f.u.
Calculated volume = 14.37 A^3/atom
Formation energy without anion corrections = -0.97 eV per atom

***

# 2
# La2YCu

Crystalline La2YCu at its relaxed geometry (PBE, Alexandria via LeMat-Bulk).

Structure (CIF):
```
data_La2YCu
_cell_length_a 3.7361
_cell_length_b 5.5375
_cell_length_c 11.4102
_cell_angle_alpha 90.00
_cell_angle_beta 90.00
_cell_angle_gamma 90.00
_space_group_name_H-M_alt 'I m m 2'
_space_group_IT_number 44
loop_
_space_group_symop_operation_xyz
'x,y,z'
'-x,-y,z'
'-x,y,z'
'x,-y,z'
'x+1/2,y+1/2,z+1/2'
'-x+1/2,-y+1/2,z+1/2'
'-x+1/2,y+1/2,z+1/2'
'x+1/2,-y+1/2,z+1/2'
loop_
_atom_site_label
_atom_site_type_symbol
_atom_site_fract_x
_atom_site_fract_y
_atom_site_fract_z
La1 La 0.0000 0.0000 0.0000
La2 La 0.0000 0.5000 0.2049
Y1 Y 0.0000 0.5000 0.7941
Cu1 Cu 0.0000 0.0000 0.4879
```

Computed properties:
N(E_F) = 5.334 states/eV/f.u.
Calculated volume = 29.51 A^3/atom
Polymorph energy (0 for the lowest one) = 0.037 eV/atom

***

# 3
# K2ThP3Se9

Crystalline K2ThP3Se9 at its relaxed geometry (PBE, Alexandria via LeMat-Bulk).

Structure (CIF):
```
data_K2ThP3Se9
_cell_length_a 10.3439
_cell_length_b 10.7144
_cell_length_c 16.8780
_cell_angle_alpha 89.92
_cell_angle_beta 72.73
_cell_angle_gamma 88.69
_space_group_name_H-M_alt 'P -1'
_space_group_IT_number 2
loop_
_space_group_symop_operation_xyz
'x,y,z'
'-x,-y,-z'
loop_
_atom_site_label
_atom_site_type_symbol
_atom_site_fract_x
_atom_site_fract_y
_atom_site_fract_z
K1 K 0.0264 0.2410 0.4650
K2 K 0.2376 0.1957 0.1394
K3 K 0.2925 0.6670 0.8523
K4 K 0.4497 0.7632 0.5477
Th1 Th 0.1962 0.7234 0.2205
Th2 Th 0.2249 0.2178 0.8312
P1 P 0.0490 0.5373 0.7262
P2 P 0.0714 0.9249 0.0087
P3 P 0.2190 0.4115 0.6513
P4 P 0.2771 0.9307 0.3753
P5 P 0.4666 0.0002 0.2813
P6 P 0.4897 0.5717 0.0534
Se1 Se 0.0038 0.5642 0.1493
Se2 Se 0.0135 0.2535 0.0136
Se3 Se 0.0350 0.9329 0.1472
Se4 Se 0.1064 0.7297 0.7228
Se5 Se 0.1071 0.2277 0.6748
Se6 Se 0.1128 0.4977 0.3320
Se7 Se 0.1288 0.9808 0.3068
Se8 Se 0.2479 0.0135 0.4958
Se9 Se 0.2738 0.9862 0.9335
Se10 Se 0.2846 0.4641 0.5231
Se11 Se 0.2887 0.7242 0.3746
Se12 Se 0.2952 0.3804 0.9635
Se13 Se 0.3513 0.0553 0.6824
Se14 Se 0.3642 0.7306 0.0325
Se15 Se 0.3730 0.4180 0.7187
Se16 Se 0.3772 0.4901 0.1743
Se17 Se 0.4311 0.1992 0.2718
Se18 Se 0.4718 0.8766 0.1711
```

Computed properties:
Calculated volume = 29.76 A^3/atom
Formation energy without anion corrections = -0.75 eV per atom

***

# 4
# PrSmTe3

Crystalline PrSmTe3 at its relaxed geometry (PBE, Alexandria via LeMat-Bulk).

Structure (CIF):
```
data_PrSmTe3
_cell_length_a 4.3650
_cell_length_b 14.4741
_cell_length_c 11.0045
_cell_angle_alpha 90.00
_cell_angle_beta 90.00
_cell_angle_gamma 90.00
_space_group_name_H-M_alt 'C m c m'
_space_group_IT_number 63
_space_group_name_Hall '-C 2c 2'
loop_
_atom_site_label
_atom_site_type_symbol
_atom_site_fract_x
_atom_site_fract_y
_atom_site_fract_z
Pr1 Pr 0.0000 0.2484 0.2500
Sm1 Sm 0.0000 0.0000 0.0000
Te1 Te 0.0000 0.0932 0.7500
Te2 Te 0.0000 0.3524 0.5657
```

Computed properties:
N(E_F) = 0.152 states/eV/f.u.
Calculated volume = 34.76 A^3/atom
Formation energy without anion corrections = -1.42 eV per atom
Polymorph energy (0 for the lowest one) = 0.044 eV/atom

***

# 5
# LiAl2Cl

Crystalline LiAl2Cl at its relaxed geometry (PBE, Alexandria via LeMat-Bulk).

Structure (CIF):
```
data_LiAl2Cl
_cell_length_a 5.1040
_cell_length_b 5.1040
_cell_length_c 3.0083
_cell_angle_alpha 90.00
_cell_angle_beta 90.00
_cell_angle_gamma 90.00
_space_group_name_H-M_alt 'P 4/m m m'
_space_group_IT_number 123
_space_group_name_Hall '-P 4 2'
loop_
_atom_site_label
_atom_site_type_symbol
_atom_site_fract_x
_atom_site_fract_y
_atom_site_fract_z
Li1 Li 0.0000 0.0000 0.0000
Al1 Al 0.0000 0.5000 0.5000
Cl1 Cl 0.5000 0.5000 0.0000
```

Computed properties:
N(E_F) = 1.177 states/eV/f.u.
Calculated volume = 19.59 A^3/atom
Formation energy without anion corrections = -0.03 eV per atom
Polymorph energy (0 for the lowest one) = 0.467 eV/atom

***

# 6
# AlWS

Crystalline AlWS at its relaxed geometry (PBE, Alexandria via LeMat-Bulk).

Structure (CIF):
```
data_AlWS
_cell_length_a 15.3906
_cell_length_b 3.0001
_cell_length_c 5.1962
_cell_angle_alpha 90.00
_cell_angle_beta 90.00
_cell_angle_gamma 90.00
_space_group_name_H-M_alt 'A m m 2'
_space_group_IT_number 38
loop_
_space_group_symop_operation_xyz
'x,y,z'
'-x,-y,z'
'-x,y,z'
'x,-y,z'
'x,y+1/2,z+1/2'
'-x,-y+1/2,z+1/2'
'-x,y+1/2,z+1/2'
'x,-y+1/2,z+1/2'
loop_
_atom_site_label
_atom_site_type_symbol
_atom_site_fract_x
_atom_site_fract_y
_atom_site_fract_z
Al1 Al 0.1406 0.0000 0.0000
W1 W 0.0000 0.0000 0.6670
W2 W 0.5000 0.0000 0.7330
S1 S 0.3930 0.0000 0.3996
```

Computed properties:
N(E_F) = 1.438 states/eV/f.u.
Calculated volume = 19.99 A^3/atom
Formation energy without anion corrections = -0.12 eV per atom

***

- Which of these has the lowest calculated volume?
  NaAcBi2O8